DFT (PBE with a Hubbard U) results for an optimized crystal structure of PmAl2WO8.

Cell: 4.5992 4.5992 6.5144 Å, 90.00 90.00 91.10°
Last column: nearest neighbours and their distance in Å.
Fractional positions:
Pm  0.0000  0.0000  0.0000  6 O 2.26-2.31
Al  0.5000  0.5000  0.2720  6 O 1.87-2.05
Al  0.5000  0.5000  0.7280  6 O 1.87-2.05
W  0.0000  0.0000  0.5000  6 O 1.93-1.98
O  0.2095  0.2095  0.2876  1 Al 1.87, 1 W 1.93
O  0.2095  0.2095  0.7124  1 Al 1.87, 1 W 1.93
O  0.3018  0.6982  0.5000  2 Al 1.97, 1 W 1.98
O  0.3435  0.6565  0.0000  2 Al 2.05, 1 O 2.06, 1 Pm 2.26
O  0.6565  0.3435  0.0000  2 Al 2.05, 1 O 2.06, 1 Pm 2.26
O  0.6982  0.3018  0.5000  2 Al 1.97, 1 W 1.98
O  0.7905  0.7905  0.2876  1 Al 1.87, 1 W 1.93
O  0.7905  0.7905  0.7124  1 Al 1.87, 1 W 1.93

Calculated values
Density   6.2 g/cm3
Magnetization   0.019 μB per atom
Calculated total energy   -0.5442 Ry/atom
Volume   11.5 A^3/atom
SG   Cmmm (65)